1.
## LaMg4Pd (PBE)

Data for a relaxed structure of LaMg4Pd.

Values from the calculation:
ρ (Mg/m³): 3.97
E (eV/cell): -37.35
Symmetry: Pmma

Lattice parameters (Å, degrees): 4.265 7.606 8.829 90.00 90.00 90.00
Sites, in units of the cell vectors:
Mg 0.500 0.299 0.560
Pd 0.000 0.797 0.250
Pd 0.000 0.203 0.750
Mg 0.500 0.044 0.250
Mg 0.000 0.000 0.500
Mg 0.500 0.701 0.440
Mg 0.500 0.701 0.060
La 0.000 0.599 0.750
Mg 0.500 0.956 0.750
Mg 0.500 0.299 0.940
La 0.000 0.401 0.250
Mg 0.000 0.000 0.000

=====

2.
## LaPmMgPd (PBE)

Data for a relaxed structure of LaPmMgPd.

Values from the calculation:
ρ (Mg/m³): 6.43
E (eV/cell): -17.78
Symmetry: F-43m

Lattice parameters (Å, degrees): 5.331 5.331 5.331 60.00 60.00 60.00
Sites, in units of the cell vectors:
Pm 0.750 0.750 0.750
Mg 0.000 0.000 0.000
La 0.250 0.250 0.250
Pd 0.500 0.500 0.500

=====

3.
## RbLa2MgPd (PBE)

Data for a relaxed structure of RbLa2MgPd.

Values from the calculation:
ρ (Mg/m³): 4.53
E (eV/cell): -17.93
Symmetry: P4/mmm

Lattice parameters (Å, degrees): 5.758 5.463 5.758 90.00 90.00 90.00
Sites, in units of the cell vectors:
Rb 0.500 0.500 0.500
Mg 0.000 0.500 0.000
La 0.000 0.000 0.500
La 0.500 0.000 0.000
Pd 0.000 0.000 0.000

=====

4.
## RbLaMgPd2 (PBE)

Data for a relaxed structure of RbLaMgPd2.

Values from the calculation:
ρ (Mg/m³): 4.37
E (eV/cell): -15.16
Symmetry: P4/mmm

Lattice parameters (Å, degrees): 5.272 6.306 5.272 90.00 90.00 90.00
Sites, in units of the cell vectors:
Pd 0.000 0.000 0.500
Mg 0.500 0.500 0.500
La 0.000 0.000 0.000
Pd 0.500 0.000 0.000
Rb 0.000 0.500 0.000

=====

5.
## LaMgRe2Pd (PBE)

Data for a relaxed structure of LaMgRe2Pd.

Values from the calculation:
ρ (Mg/m³): 9.47
E (eV/cell): -31.39
Symmetry: P4/mmm

Lattice parameters (Å, degrees): 4.898 4.694 4.898 90.00 90.00 90.00
Sites, in units of the cell vectors:
La 0.500 0.500 0.500
Re 0.500 0.000 0.000
Re 0.000 0.000 0.500
Pd 0.000 0.000 0.000
Mg 0.000 0.500 0.000

=====

6.
## LaMgPdRu (PBE)

Data for a relaxed structure of LaMgPdRu.

Values from the calculation:
ρ (Mg/m³): 7.81
E (eV/cell): -22.24
Symmetry: F-43m

Lattice parameters (Å, degrees): 4.812 4.812 4.812 60.00 60.00 60.00
Sites, in units of the cell vectors:
Ru 0.000 0.000 0.000
Pd 0.500 0.500 0.500
La 0.750 0.750 0.750
Mg 0.250 0.250 0.250

=====

7.
## LaMgSb2Pd4 (PBE)

Data for a relaxed structure of LaMgSb2Pd4.

Values from the calculation:
ρ (Mg/m³): 8.63
Symmetry: R-3m
E_form (uncorrected) (meV/atom): -747.8

Lattice parameters (Å, degrees): 4.584 4.584 9.189 75.56 75.56 60.00
Sites, in units of the cell vectors:
Pd 0.401 0.401 0.796
Sb 0.246 0.246 0.263
Pd 0.599 0.599 0.204
Sb 0.754 0.754 0.737
La 0.000 0.000 0.000
Mg 0.500 0.500 0.500
Pd 0.862 0.862 0.415
Pd 0.138 0.138 0.585

=====

8.
## LaMgSc2Pd4 (PBE)

Data for a relaxed structure of LaMgSc2Pd4.

Values from the calculation:
ρ (Mg/m³): 7.05
E (eV/cell): -46.31
Symmetry: R-3m

Lattice parameters (Å, degrees): 4.614 4.614 9.073 75.27 75.27 60.00
Sites, in units of the cell vectors:
Pd 0.397 0.397 0.809
Pd 0.871 0.871 0.388
Pd 0.129 0.129 0.612
Pd 0.603 0.603 0.191
Mg 0.500 0.500 0.500
Sc 0.237 0.237 0.289
Sc 0.763 0.763 0.711
La 0.000 0.000 0.000

=====

9.
## LaMg2ScPd (PBE)

Data for a relaxed structure of LaMg2ScPd.

Values from the calculation:
ρ (Mg/m³): 4.31
E (eV/cell): -20.93
Symmetry: P4/mmm

Lattice parameters (Å, degrees): 5.100 5.100 5.016 90.00 90.00 90.00
Sites, in units of the cell vectors:
Pd 0.000 0.000 0.000
Sc 0.000 0.000 0.500
Mg 0.500 0.000 0.000
Mg 0.000 0.500 0.000
La 0.500 0.500 0.500

=====

10.
## LaMgSi2Pd (PBE)

Data for a relaxed structure of LaMgSi2Pd.

Values from the calculation:
ρ (Mg/m³): 5.57
Symmetry: I-4m2
E_form (uncorrected) (meV/atom): -764.5

Lattice parameters (Å, degrees): 4.219 4.219 6.217 109.83 109.83 90.00
Sites, in units of the cell vectors:
Si 0.391 0.391 0.782
Si 0.609 0.609 0.218
La 0.000 0.000 0.000
Pd 0.750 0.250 0.500
Mg 0.250 0.750 0.500

=====

11.
## La2MgSiPd6 (PBE)

Data for a relaxed structure of La2MgSiPd6.

Values from the calculation:
ρ (Mg/m³): 7.77
Symmetry: P-1
E_form (uncorrected) (meV/atom): -703.1

Lattice parameters (Å, degrees): 5.620 8.352 7.009 48.29 66.30 89.96
Sites, in units of the cell vectors:
Pd 0.257 0.273 0.988
La 0.746 0.274 0.507
Mg 0.000 0.000 0.000
Si 0.500 0.500 0.000
Pd 0.756 0.273 0.991
La 0.254 0.726 0.493
Pd 0.244 0.727 0.009
Pd 0.743 0.727 0.012
Pd 0.752 0.896 0.500
Pd 0.248 0.104 0.500

=====

12.
## LaMgSi2Pd5 (PBE)

Data for a relaxed structure of LaMgSi2Pd5.

Values from the calculation:
ρ (Mg/m³): 7.85
Symmetry: P4/mmm
E_form (uncorrected) (meV/atom): -703.4

Lattice parameters (Å, degrees): 4.235 4.235 8.863 90.00 90.00 90.00
Sites, in units of the cell vectors:
La 0.000 0.000 0.500
Pd 0.000 0.500 0.746
Pd 0.500 0.000 0.254
Pd 0.500 0.000 0.746
Si 0.500 0.500 0.872
Pd 0.000 0.500 0.254
Pd 0.500 0.500 0.500
Mg 0.000 0.000 0.000
Si 0.500 0.500 0.128